[1]
# Li2HgPb2

A relaxed Li2HgPb2 crystal (PBE-GGA, the Alexandria database).

Results
**Volume**: 115.2 Å³/cell
**Total moment**: 0.0 Bohr magnetons per cell
**Space-group type**: No. 65
**E above lowest polymorph**: 0 meV per atom
**Energy**: -12.62 eV for the cell shown

a = 3.356 Å, b = 3.484 Å, c = 10.009 Å
α = 79.98°, β = 90.00°, γ = 90.00°
Sites, in units of the cell vectors:
Li  0.500  0.421  0.158
Li  0.500  0.579  0.842
Hg  0.000  0.000  0.000
Pb  0.000  0.178  0.644
Pb  0.000  0.822  0.356

=====

[2]
# Ac3GeBiO

A relaxed Ac3GeBiO crystal (PBE-GGA, the Alexandria database).

Results
**Volume**: 427.9 Å³/cell
**Total moment**: 0.0 Bohr magnetons per cell
**Space-group type**: No. 11
**Raw formation energy**: -9.1 eV/f.u.
**Energy**: -69.74 eV for the cell shown

a = 4.547 Å, b = 9.747 Å, c = 9.848 Å
α = 101.34°, β = 90.00°, γ = 90.00°
Sites, in units of the cell vectors:
Ac  0.750  0.885  0.156
Ac  0.250  0.115  0.844
Ac  0.250  0.836  0.483
Ac  0.750  0.164  0.517
Ac  0.750  0.425  0.159
Ac  0.250  0.575  0.841
Ge  0.250  0.657  0.166
Ge  0.750  0.343  0.834
Bi  0.250  0.174  0.228
Bi  0.750  0.826  0.772
O  0.250  0.082  0.590
O  0.750  0.918  0.410

=====

[3]
# PuAl2Ru

A relaxed PuAl2Ru crystal (PBE-GGA, the Alexandria database).

Results
**Volume**: 69.6 Å³/cell
**Total moment**: 5.7 Bohr magnetons per cell
**Space-group type**: No. 123
**Energy**: -33.04 eV for the cell shown

a = 3.053 Å, b = 3.053 Å, c = 7.472 Å
α = 90.00°, β = 90.00°, γ = 90.00°
Sites, in units of the cell vectors:
Ru  0.500  0.500  0.000
Al  0.000  0.000  0.814
Al  0.000  0.000  0.186
Pu  0.500  0.500  0.500

=====

total moment of number 2 (Ac3GeBiO)?
0.0 Bohr magnetons per cell